[1]
Material: Pu2AuSe2O2
Method: DFT, PBE
State: optimized geometry

Cell: 3.8746 3.8746 11.5736 Å, 90.00 90.00 120.00°
Closest atoms and distances in Å follow each position.
Space group P-3m1 (No. 164)
Asymmetric unit:
Pu: 0.3333 0.6667 0.1301 (multiplicity 2)  4 O 2.33-2.36
Au: 0.0000 0.0000 0.5000 (multiplicity 1)  2 Se 2.43
Se: 0.0000 0.0000 0.2898 (multiplicity 2)  1 Au 2.43
O: 0.3333 0.6667 0.9264 (multiplicity 2)  4 Pu 2.33-2.36

[2]
Material: PuSnAuO
Method: DFT, PBE
State: optimized geometry

Cell: 3.9150 3.9150 39.1323 Å, 90.00 90.00 120.00°
Closest atoms and distances in Å follow each position.
Space group R-3m (No. 166, hexagonal axes)
Asymmetric unit:
Pu: 0.0000 0.0000 0.1300 (multiplicity 6)  4 O 2.32-2.33
Sn: 0.0000 0.0000 0.3047 (multiplicity 6)  3 Au 2.86, 3 Sn 3.18
Au: 0.0000 0.0000 0.4068 (multiplicity 6)  3 Sn 2.86, 3 Pu 3.16
O: 0.0000 0.0000 0.1894 (multiplicity 6)  4 Pu 2.32-2.33

[3]
Material: SrPuAuO6
Method: DFT, PBE
State: optimized geometry

Cell: 5.5067 5.5067 11.0113 Å, 90.00 90.00 120.00°
Closest atoms and distances in Å follow each position.
Space group P-31c (No. 163)
Asymmetric unit:
Sr: 0.0000 0.0000 0.0000 (multiplicity 2)  6 O 2.54
Pu: 0.3333 0.6667 0.2500 (multiplicity 2)  6 O 2.04
Au: 0.3333 0.6667 0.7500 (multiplicity 2)  6 O 2.20
O: 0.0225 0.3698 0.1447 (multiplicity 12)  1 Pu 2.04, 1 Au 2.20

[4]
Material: SrPuAu2O8
Method: DFT, PBE
State: optimized geometry

Cell: 7.1980 7.1980 7.3436 Å, 90.00 90.00 90.00°
Closest atoms and distances in Å follow each position.
Space group I-4m2 (No. 119)
Asymmetric unit:
Sr: 0.0000 0.0000 0.0000 (multiplicity 2)  8 O 2.45-2.70
Pu: 0.0000 0.5000 0.7500 (multiplicity 2)  4 O 1.96
Au: 0.0000 0.0000 0.5000 (multiplicity 2)  4 O 2.27
Au: 0.0000 0.5000 0.2500 (multiplicity 2)  4 O 1.94
O: 0.0000 0.2311 0.7110 (multiplicity 8)  1 Pu 1.96
O: 0.0000 0.3375 0.0388 (multiplicity 8)  1 Au 1.94

[5]
Material: TbPuAuO6
Method: DFT, PBE
State: optimized geometry

Cell: 5.7888 5.7888 8.9839 Å, 90.00 90.00 120.00°
Closest atoms and distances in Å follow each position.
Space group P-31c (No. 163)
Asymmetric unit:
Tb: 0.3333 0.6667 0.2500 (multiplicity 2)  6 O 2.29
Pu: 0.3333 0.6667 0.7500 (multiplicity 2)  6 O 2.02
Au: 0.0000 0.0000 0.0000 (multiplicity 2)  6 O 2.38
O: 0.0353 0.3733 0.6306 (multiplicity 12)  1 Pu 2.02

[6]
Material: PuTiAuO6
Method: DFT, PBE
State: optimized geometry

Cell: 5.3902 5.3902 9.6790 Å, 90.00 90.00 120.00°
Closest atoms and distances in Å follow each position.
Space group P-31c (No. 163)
Asymmetric unit:
Pu: 0.3333 0.6667 0.2500 (multiplicity 2)  6 O 2.04
Ti: 0.3333 0.6667 0.7500 (multiplicity 2)  6 O 1.99
Au: 0.0000 0.0000 0.0000 (multiplicity 2)  6 O 2.40
O: 0.0070 0.3697 0.6408 (multiplicity 12)  1 Ti 1.99, 1 Pu 2.04

[7]
Material: PuTlAuO6
Method: DFT, PBE
State: optimized geometry

Cell: 5.5129 5.5129 9.9844 Å, 90.00 90.00 120.00°
Closest atoms and distances in Å follow each position.
Space group P-31c (No. 163)
Asymmetric unit:
Pu: 0.3333 0.6667 0.2500 (multiplicity 2)  6 O 2.07
Tl: 0.0000 0.0000 0.0000 (multiplicity 2)  6 O 2.34
Au: 0.3333 0.6667 0.7500 (multiplicity 2)  6 O 2.21
O: 0.0197 0.3575 0.1344 (multiplicity 12)  1 Pu 2.07, 1 Au 2.21

[8]
Material: PuTlAu2O8
Method: DFT, PBE
State: optimized geometry

Cell: 6.8043 6.8043 7.5461 Å, 90.00 90.00 90.00°
Closest atoms and distances in Å follow each position.
Space group I-4m2 (No. 119)
Asymmetric unit:
Pu: 0.0000 0.0000 0.0000 (multiplicity 2)  4 O 1.97
Tl: 0.0000 0.5000 0.7500 (multiplicity 2)  4 O 2.25
Au: 0.0000 0.0000 0.5000 (multiplicity 2)  4 O 1.99
Au: 0.0000 0.5000 0.2500 (multiplicity 2)  4 O 2.23
O: 0.0000 0.1717 0.7140 (multiplicity 8)  1 Au 1.99
O: 0.0000 0.2876 0.0248 (multiplicity 8)  1 Pu 1.97

Values for energy relative to the elements, uncorrected, kJ per mole of atoms, ordered as above
-177.0, -130.7, -168.0, -98.9, -186.3, -188.9, -108.5, -61.4